## TeAs2SeO (PBE-GGA)

Data for TeAs2SeO after structural relaxation.

Structure (POSCAR):
```
TeAs2SeO
1.0
4.567 0.000 0.000
0.000 4.567 0.000
0.000 0.000 4.564
As Te O Se
2 1 1 1
direct
0.000 0.500 0.000
0.500 0.000 0.000
0.500 0.500 0.500
0.000 0.000 0.000
0.000 0.000 0.500
```

Calculated values
- Formation energy (no corrections): 389 meV/atom
- Calculated density: 6.50 g cm⁻³
- Space-group type: P4/mmm (123)
- Excess energy over the best structure of this formula in the dataset: 0.0 meV per atom
- Calculated total energy: -3.788 eV per atom